# 1
VASP calculation (PBE) on a geometry-optimized GdAgSnSe3 structure.

POSCAR file:
```
GdAgSnSe3
1.0
6.8459 -2.0597 0.0000
6.8459 2.0597 0.0000
0.0000 0.0000 10.6751
Se Ag Gd Sn
6 2 2 2
Cartesian
1.3105 0.0000 8.0063 Se
8.8450 0.0000 4.7429 Se
12.3813 0.0000 2.6688 Se
4.8468 0.0000 5.9322 Se
4.8468 0.0000 10.0805 Se
8.8450 0.0000 0.5946 Se
7.2514 0.0000 2.6688 Ag
6.4404 0.0000 8.0063 Ag
0.0000 0.0000 5.3375 Gd
0.0000 0.0000 0.0000 Gd
10.4206 0.0000 8.0063 Sn
3.2712 0.0000 2.6688 Sn
```

Energy above the most stable polymorph in this dataset: 0.00 eV per formula unit
Uncorrected energy: -4.5591 eV/atom

=====

# 2
VASP calculation (PBE) on a geometry-optimized Pu4As3 structure.

POSCAR file:
```
Pu4As3
1.0
4.8776 -3.1360 4.8941
-6.1651 2.3652 3.7383
-2.0154 -5.1393 -5.2061
As Pu
6 8
Cartesian
-5.7776 -3.1150 -1.1398 As
-1.9882 -0.9248 6.2908 As
0.2327 -2.3578 3.1591 As
-0.9718 -3.7967 -0.4839 As
-3.3895 -1.2330 1.6077 As
1.9857 -6.3028 0.8451 As
-2.1372 -3.8243 2.2171 Pu
0.7198 -5.9514 -1.9933 Pu
-6.2660 -0.5523 0.5854 Pu
1.7275 -3.3817 0.6097 Pu
-0.4858 -0.8693 0.5039 Pu
-3.1835 -1.7349 -1.2837 Pu
-1.3611 0.0759 3.5964 Pu
1.0777 -1.4921 6.0434 Pu
```

Uncorrected energy: -11.1378 eV/atom

=====

# 3
VASP calculation (PBE) on a geometry-optimized UAsPb structure.

POSCAR file:
```
UAsPb
1.0
2.0437 -4.2562 -1.2596
-0.6068 -3.9350 2.8331
-2.8038 -3.7001 -1.5254
As U Pb
1 1 1
Cartesian
0.0000 0.0000 0.0000 As
-1.0252 -8.9184 0.0361 U
-0.3417 -2.9728 0.0120 Pb
```

Energy above the most stable polymorph in this dataset: 0.00 eV per formula unit
Uncorrected energy: -6.3658 eV/atom

=====

# 4
VASP calculation (PBE) on a geometry-optimized NbFeReSb structure.

POSCAR file:
```
NbFeReSb
1.0
-1.0860 0.5172 4.3121
-4.2162 0.9769 1.1448
-2.5298 -3.0690 2.0548
Fe Re Nb Sb
1 1 1 1
Cartesian
-5.8740 -1.1812 5.6338 Fe
-1.9580 -0.3937 1.8779 Re
-3.9160 -0.7875 3.7558 Nb
0.0000 0.0000 0.0000 Sb
```

Energy above the most stable polymorph in this dataset: 0.00 eV per formula unit
Uncorrected energy: -8.5615 eV/atom

=====

# 5
VASP calculation (PBE) on a geometry-optimized ErNi2Te structure.

POSCAR file:
```
ErNi2Te
1.0
4.1262 0.0000 0.0000
0.0000 5.0305 0.0000
0.0000 0.0000 6.9725
Ni Te Er
4 2 2
Cartesian
0.0000 4.3500 6.7157 Ni
2.0631 1.8769 3.7202 Ni
2.0631 3.1536 0.2340 Ni
0.0000 0.6805 3.2294 Ni
2.0631 4.2563 4.7572 Te
2.0631 0.7742 1.2709 Te
0.0000 1.8034 5.7245 Er
0.0000 3.2272 2.2382 Er
```

Energy above the most stable polymorph in this dataset: 0.25 eV per formula unit
Uncorrected energy: -5.1201 eV/atom

=====

# 6
VASP calculation (PBE) on a geometry-optimized Be2Nb structure.

POSCAR file:
```
Be2Nb
1.0
0.0000 3.2650 3.2650
3.2650 0.0000 3.2650
3.2650 3.2650 0.0000
Be Nb
4 2
Cartesian
2.4488 4.0813 2.4488 Be
4.0813 2.4488 2.4488 Be
4.0813 4.0813 4.0813 Be
2.4488 2.4488 4.0813 Be
1.6325 1.6325 1.6325 Nb
0.0000 0.0000 0.0000 Nb
```

Uncorrected energy: -6.0560 eV/atom

=====

Among the records above, which one has the lowest uncorrected energy?
Pu4As3

=====

Which of these has the lowest uncorrected energy?
Pu4As3